(w)
The following is a PBE-GGA calculation of an optimized crystal structure of Li2Pd2F7, from Alexandria via LeMat-Bulk.

volume = 14.669 A^3/atom
space-group type = C2/m (12)

```
11
Lattice="3.375 -4.701 0.000 3.375 4.701 0.000 -2.272 0.000 5.086" Properties=species:S:1:pos:R:3 pbc="T T T"
Li 3.375 3.164 0.000
Li 3.375 -3.164 0.000
Pd 0.636 0.000 3.796
Pd 3.842 0.000 1.290
F 0.550 1.945 3.798
F -1.106 0.000 4.718
F 3.927 1.945 1.288
F 2.239 0.000 2.543
F 0.550 -1.945 3.798
F 5.583 0.000 0.368
F 3.927 -1.945 1.288
```

---

(x)
The following is a PBE-GGA calculation of an optimized crystal structure of Li2Pd2F7, from Alexandria via LeMat-Bulk.

volume = 13.600 A^3/atom
space-group type = C2/c (15)

```
22
Lattice="4.499 -3.333 0.000 4.499 3.333 0.000 -0.964 0.000 9.976" Properties=species:S:1:pos:R:3 pbc="T T T"
Li 0.667 0.678 4.773
Li 0.185 -0.678 9.761
Li 7.849 0.678 0.215
Li 7.367 -0.678 5.203
Pd 2.215 0.829 2.186
Pd 1.733 -0.829 7.173
Pd 6.301 0.829 2.802
Pd 5.819 -0.829 7.790
F 3.096 2.834 8.756
F 2.050 1.117 6.181
F 4.455 2.834 6.208
F 1.336 0.603 8.758
F 1.818 -0.603 3.770
F 4.258 1.059 2.494
F 2.532 -1.117 1.193
F 5.502 1.117 8.783
F 3.776 -1.059 7.482
F 6.216 0.603 6.206
F 6.698 -0.603 1.218
F 3.579 -2.834 3.768
F 5.984 -1.117 3.795
F 4.938 -2.834 1.220
```

---

Stability ranking, top and bottom: (w) is the most stable and (x) is the least stable.

---

(w)
The following is a PBE-GGA calculation of an optimized crystal structure of Li2PdF, from Alexandria via LeMat-Bulk.

volume = 13.931 A^3/atom
space-group type = I-42d (122)

```
8
Lattice="-2.808 2.808 3.534 2.808 -2.808 3.534 2.808 2.808 -3.534" Properties=species:S:1:pos:R:3 pbc="T T T"
Li 4.212 0.764 -0.884
Li 0.764 1.404 0.884
Li -1.404 2.043 2.651
Li 2.043 1.404 4.418
Pd 2.808 0.000 1.767
Pd 0.000 0.000 3.534
F 0.000 0.000 0.000
F 0.000 2.808 1.767
```

---

(x)
The following is a PBE-GGA calculation of an optimized crystal structure of Li2PdF, from Alexandria via LeMat-Bulk.

volume = 11.441 A^3/atom
space-group type = R-3m (166)

```
4
Lattice="1.408 0.813 6.668 -1.408 0.813 6.668 0.000 -1.625 6.668" Properties=species:S:1:pos:R:3 pbc="T T T"
Li 0.000 0.000 4.523
Li 0.000 0.000 15.480
Pd 0.000 0.000 0.000
F 0.000 0.000 10.001
```

---

(y)
The following is a PBE-GGA calculation of an optimized crystal structure of Li2PdF, from Alexandria via LeMat-Bulk.

volume = 13.632 A^3/atom
space-group type = Fm-3m (225)

```
4
Lattice="0.000 3.010 3.010 3.010 0.000 3.010 3.010 3.010 0.000" Properties=species:S:1:pos:R:3 pbc="T T T"
Li 1.505 1.505 1.505
Li 4.515 4.515 4.515
Pd 0.000 0.000 0.000
F 3.010 3.010 3.010
```

---

Stability ranking, top and bottom: (x) is the most stable and (y) is the least stable.